# K3Mg2MoO6

K3Mg2MoO6 after structural relaxation (GGA+U, Alexandria).

Geometry as extended XYZ:
```
12
Lattice="2.7314 -4.8385 0.0000 2.7314 4.8385 0.0000 -1.8233 0.0000 6.0857" Properties=species:S:1:pos:R:3 pbc="T T T"
K 0.0000 0.0000 0.0000
K 2.7314 1.6586 0.0000
K 2.7314 -1.6586 0.0000
Mg 1.8197 3.1747 3.0428
Mg 1.8197 -3.1747 3.0428
Mo 1.8197 0.0000 3.0428
O 0.9452 1.5364 1.9610
O 0.1492 0.0000 4.1056
O 0.9452 -1.5364 1.9610
O 2.6942 1.5364 4.1246
O 3.4902 0.0000 1.9801
O 2.6942 -1.5364 4.1246
```

Calculated values
electronic total energy: -66.61 eV for the cell shown
density of states at the Fermi level: 0.00 states/eV per cell
calculated volume: 161 Å³/f.u.
magnetization: 1.000 μB/f.u.